[1]
Here is a relaxed CuAgS crystal from the Alexandria database. Energies are from PBEsol.

Calculated values
**Calculated volume**: 105.0 Å³/cell
**Energy**: -24.6 eV/cell

a = 3.8835 Å, b = 3.8835 Å, c = 8.0148 Å
α = 90.00°, β = 90.00°, γ = 119.70°
With the nearest neighbours (Å) after each atom.
Element x y z (fractional)
Cu (0.0362, 0.9638, 0.7500)  3 S 2.24-2.26
Cu (0.9638, 0.0362, 0.2500)  3 S 2.24-2.26
Ag (0.5000, 0.5000, 0.0000)  2 S 2.41
Ag (0.5000, 0.5000, 0.5000)  2 S 2.41
S (0.3002, 0.6998, 0.2500)  3 Cu 2.24-2.26, 2 Ag 2.41
S (0.6998, 0.3002, 0.7500)  3 Cu 2.24-2.26, 2 Ag 2.41

=====

[2]
Here is a relaxed CuAg2Sb2 crystal from the Alexandria database. Energies are from PBEsol.

Calculated values
**Calculated volume**: 114.7 Å³/cell
**Energy**: -17.1 eV/cell

a = 7.3024 Å, b = 7.3024 Å, c = 7.3024 Å
α = 147.06°, β = 147.06°, γ = 47.27°
With the nearest neighbours (Å) after each atom.
Element x y z (fractional)
Cu (0.0000, 0.0000, 0.0000)  8 Ag 3.20
Ag (0.4043, 0.4043, 0.0000)  1 Ag 2.56
Ag (0.5957, 0.5957, 0.0000)  1 Ag 2.56
Sb (0.2500, 0.7500, 0.5000)  4 Ag 2.92, 4 Sb 2.93
Sb (0.7500, 0.2500, 0.5000)  4 Ag 2.92, 4 Sb 2.93

=====

[3]
Here is a relaxed CuAgSb2 crystal from the Alexandria database. Energies are from PBEsol.

Calculated values
**Calculated volume**: 80.7 Å³/cell
**Energy**: -15.6 eV/cell

a = 4.8497 Å, b = 4.8497 Å, c = 4.8497 Å
α = 60.00°, β = 60.00°, γ = 60.00°
With the nearest neighbours (Å) after each atom.
Element x y z (fractional)
Cu (0.0000, 0.0000, 0.0000)  8 Sb 2.97
Ag (0.5000, 0.5000, 0.5000)  8 Sb 2.97
Sb (0.2500, 0.2500, 0.2500)  4 Cu 2.97, 4 Ag 2.97
Sb (0.7500, 0.7500, 0.7500)  4 Cu 2.97, 4 Ag 2.97

=====

[4]
Here is a relaxed CuAg2Sb crystal from the Alexandria database. Energies are from PBEsol.

Calculated values
**Calculated volume**: 68.5 Å³/cell
**Energy**: -15.2 eV/cell

a = 4.0174 Å, b = 4.0174 Å, c = 4.2471 Å
α = 90.00°, β = 90.00°, γ = 90.00°
With the nearest neighbours (Å) after each atom.
Element x y z (fractional)
Cu (0.0000, 0.0000, 0.0000)  4 Sb 2.84, 8 Ag 2.92
Ag (0.0000, 0.5000, 0.5000)  4 Ag 2.84, 4 Sb 2.92, 4 Cu 2.92
Ag (0.5000, 0.0000, 0.5000)  4 Ag 2.84, 4 Sb 2.92, 4 Cu 2.92
Sb (0.5000, 0.5000, 0.0000)  4 Cu 2.84, 8 Ag 2.92

=====

[5]
Here is a relaxed CuAgSb crystal from the Alexandria database. Energies are from PBEsol.

Calculated values
**Calculated volume**: 53.7 Å³/cell
**Energy**: -11.7 eV/cell

a = 4.7779 Å, b = 4.7779 Å, c = 4.7779 Å
α = 136.71°, β = 133.19°, γ = 65.65°
With the nearest neighbours (Å) after each atom.
Element x y z (fractional)
Cu (0.0000, 0.0000, 0.0000)  5 Sb 2.67-2.92, 5 Ag 2.67-2.92
Ag (0.3327, 0.3327, 0.0000)  5 Cu 2.67-2.92, 5 Sb 2.69-2.91
Sb (0.6677, 0.6677, 0.0000)  5 Cu 2.67-2.92, 5 Ag 2.69-2.91

=====

[6]
Here is a relaxed Cu4AgSb crystal from the Alexandria database. Energies are from PBEsol.

Calculated values
**Calculated volume**: 84.3 Å³/cell
**Energy**: -25.0 eV/cell

a = 4.9225 Å, b = 4.9225 Å, c = 4.9225 Å
α = 60.00°, β = 60.00°, γ = 60.00°
With the nearest neighbours (Å) after each atom.
Element x y z (fractional)
Cu (0.1245, 0.1245, 0.1245)  6 Cu 2.45-2.47
Cu (0.1245, 0.1245, 0.6265)  6 Cu 2.45-2.47
Cu (0.1245, 0.6265, 0.1245)  6 Cu 2.45-2.47
Cu (0.6265, 0.1245, 0.1245)  6 Cu 2.45-2.47
Ag (0.7500, 0.7500, 0.7500)  12 Cu 2.89, 4 Sb 3.01
Sb (0.5000, 0.5000, 0.5000)  12 Cu 2.89, 4 Ag 3.01